LiRuSe2 after structural relaxation, computed with PBEsol.

POSCAR file:
```
LiRuSe2
1.0
1.8689 1.0790 5.8004
-1.8689 1.0790 5.8004
0.0000 -2.1581 5.8004
Li Ru Se
1 1 2
direct
0.0000 0.0000 0.0000
0.5000 0.5000 0.5000
0.2387 0.2387 0.2387
0.7613 0.7613 0.7613
```

Properties
space group = R-3m, No. 166
volume = 70.2 Å³ per cell
energy = -5.439 eV per atom
size of the total moment = 0.00 μB/cell



LiRuSe2 after structural relaxation, computed with PBEsol.

POSCAR file:
```
LiRuSe2
1.0
3.3229 0.0000 0.0000
0.0000 3.3229 0.0000
0.0000 0.0000 5.8786
Li Ru Se
1 1 2
direct
0.0000 0.0000 0.0000
0.5000 0.5000 0.2910
0.0000 0.0000 0.4488
0.5000 0.5000 0.8735
```

Properties
space group = P4mm, No. 99
volume = 64.9 Å³ per cell
energy = -5.255 eV per atom
size of the total moment = 0.00 μB/cell



LiRu2Se after structural relaxation, computed with PBEsol.

POSCAR file:
```
LiRu2Se
1.0
0.0000 3.0092 3.0092
3.0092 0.0000 3.0092
3.0092 3.0092 0.0000
Li Ru Se
1 2 1
direct
0.0000 0.0000 0.0000
0.5000 0.5000 0.5000
0.7500 0.7500 0.7500
0.2500 0.2500 0.2500
```

Properties
space group = F-43m, No. 216
volume = 54.5 Å³ per cell
energy = -6.338 eV per atom
size of the total moment = 0.00 μB/cell



LiSm2Ru after structural relaxation, computed with PBEsol.

POSCAR file:
```
LiSm2Ru
1.0
0.0000 3.4839 3.4839
3.4839 0.0000 3.4839
3.4839 3.4839 0.0000
Li Sm Ru
1 2 1
direct
0.0000 0.0000 0.0000
0.2500 0.2500 0.2500
0.7500 0.7500 0.7500
0.5000 0.5000 0.5000
```

Properties
space group = Fm-3m, No. 225
ΔH_f (0 K) = -152 meV per atom
volume = 84.6 Å³ per cell
size of the total moment = 0.00 μB/cell



SrLiRu2 after structural relaxation, computed with PBEsol.

POSCAR file:
```
SrLiRu2
1.0
-1.8968 1.8968 4.7470
1.8968 -1.8968 4.7470
1.8968 1.8968 -4.7470
Sr Li Ru
1 1 2
direct
0.0000 0.0000 0.0000
0.5000 0.5000 0.0000
0.2500 0.7500 0.5000
0.7500 0.2500 0.5000
```

Properties
space group = I4/mmm, No. 139
ΔH_f (0 K) = 718 meV per atom
volume = 68.3 Å³ per cell
E above lowest polymorph = 62 meV/atom
size of the total moment = 0.41 μB/cell



SrLiRu4 after structural relaxation, computed with PBEsol.

POSCAR file:
```
SrLiRu4
1.0
0.0000 3.7060 3.7060
3.7060 0.0000 3.7060
3.7060 3.7060 0.0000
Sr Li Ru
1 1 4
direct
0.0000 0.0000 0.0000
0.7500 0.7500 0.7500
0.3756 0.3756 0.3756
0.3756 0.3756 0.8731
0.3756 0.8731 0.3756
0.8731 0.3756 0.3756
```

Properties
space group = F-43m, No. 216
ΔH_f (0 K) = 542 meV per atom
volume = 101.8 Å³ per cell
size of the total moment = 2.79 μB/cell



SrLiRu2 after structural relaxation, computed with PBEsol.

POSCAR file:
```
SrLiRu2
1.0
-1.4576 2.3035 4.8713
1.4576 -2.3035 4.8713
1.4576 2.3035 -4.8713
Sr Li Ru
1 1 2
direct
0.0000 0.0000 0.0000
0.5000 0.5000 0.0000
0.2696 0.7696 0.5000
0.7304 0.2304 0.5000
```

Properties
space group = Immm, No. 71
ΔH_f (0 K) = 656 meV per atom
volume = 65.4 Å³ per cell
E above lowest polymorph = 0 meV/atom
size of the total moment = 0.02 μB/cell



SrLiRu2 after structural relaxation, computed with PBEsol.

POSCAR file:
```
SrLiRu2
1.0
3.7696 0.0000 0.0000
0.0000 3.7696 0.0000
0.0000 0.0000 4.7857
Sr Li Ru
1 1 2
direct
0.0000 0.0000 0.0000
0.5000 0.5000 0.0000
0.0000 0.5000 0.5000
0.5000 0.0000 0.5000
```

Properties
space group = P4/mmm, No. 123
ΔH_f (0 K) = 691 meV per atom
volume = 68.0 Å³ per cell
E above lowest polymorph = 36 meV/atom
size of the total moment = 0.04 μB/cell



LiTaRu4 after structural relaxation, computed with PBEsol.

POSCAR file:
```
LiTaRu4
1.0
0.0000 3.5428 3.5428
3.5428 0.0000 3.5428
3.5428 3.5428 0.0000
Li Ta Ru
1 1 4
direct
0.0000 0.0000 0.0000
0.2500 0.2500 0.2500
0.1242 0.6253 0.6253
0.6253 0.1242 0.6253
0.6253 0.6253 0.1242
0.6253 0.6253 0.6253
```

Properties
space group = F-43m, No. 216
ΔH_f (0 K) = 185 meV per atom
volume = 88.9 Å³ per cell
size of the total moment = 0.00 μB/cell



LiTa3Ru after structural relaxation, computed with PBEsol.

POSCAR file:
```
LiTa3Ru
1.0
4.2885 0.0000 0.0000
0.0000 4.2885 0.0000
0.0000 0.0000 4.2885
Li Ta Ru
1 3 1
direct
0.0000 0.0000 0.0000
0.0000 0.0000 0.5000
0.0000 0.5000 0.0000
0.5000 0.0000 0.0000
0.5000 0.5000 0.5000
```

Properties
space group = Pm-3m, No. 221
ΔH_f (0 K) = 1234 meV per atom
volume = 78.9 Å³ per cell
size of the total moment = 0.00 μB/cell



Li2TcRu after structural relaxation, computed with PBEsol.

POSCAR file:
```
Li2TcRu
1.0
4.5260 0.0000 0.0000
0.0000 4.5260 0.0000
0.0000 0.0000 2.4013
Li Tc Ru
2 1 1
direct
0.0000 0.5000 0.0000
0.5000 0.0000 0.0000
0.0000 0.0000 0.5000
0.5000 0.5000 0.5000
```

Properties
space group = P4/mmm, No. 123
ΔH_f (0 K) = 600 meV per atom
volume = 49.2 Å³ per cell
size of the total moment = 0.00 μB/cell



LiZn2TcRu after structural relaxation, computed with PBEsol.

POSCAR file:
```
LiZn2TcRu
1.0
4.8355 0.0000 0.0000
0.0000 4.8355 0.0000
0.0000 0.0000 4.4615
Li Zn Tc Ru
1 2 1 1
direct
0.0000 0.0000 0.0000
0.0000 0.5000 0.5000
0.5000 0.0000 0.5000
0.5000 0.5000 0.5000
0.5000 0.5000 0.0000
```

Properties
space group = P4/mmm, No. 123
ΔH_f (0 K) = 923 meV per atom
volume = 104.3 Å³ per cell
size of the total moment = 0.76 μB/cell



LiTe2Ru after structural relaxation, computed with PBEsol.

POSCAR file:
```
LiTe2Ru
1.0
4.7637 0.0000 0.0000
0.0000 4.7637 0.0000
0.0000 0.0000 3.2781
Li Te Ru
1 2 1
direct
0.0000 0.0000 0.0000
0.0000 0.5000 0.5000
0.5000 0.0000 0.5000
0.5000 0.5000 0.0000
```

Properties
space group = P4/mmm, No. 123
volume = 74.4 Å³ per cell
energy = -4.816 eV per atom
size of the total moment = 0.00 μB/cell



Li2TeRu after structural relaxation, computed with PBEsol.

POSCAR file:
```
Li2TeRu
1.0
-1.8917 1.8917 4.2855
1.8917 -1.8917 4.2855
1.8917 1.8917 -4.2855
Li Te Ru
2 1 1
direct
0.2500 0.7500 0.5000
0.7500 0.2500 0.5000
0.0000 0.0000 0.0000
0.5000 0.5000 0.0000
```

Properties
space group = I4/mmm, No. 139
volume = 61.3 Å³ per cell
energy = -4.526 eV per atom
size of the total moment = 0.00 μB/cell



LiTeRu after structural relaxation, computed with PBEsol.

POSCAR file:
```
LiTeRu
1.0
-1.6866 1.6866 4.0698
1.6866 -1.6866 4.0698
1.6866 1.6866 -4.0698
Li Te Ru
1 1 1
direct
0.0000 0.0000 0.0000
0.3258 0.3258 0.0000
0.6703 0.6703 0.0000
```

Properties
space group = I4mm, No. 107
volume = 46.3 Å³ per cell
energy = -5.369 eV per atom
size of the total moment = 0.30 μB/cell



LiTe2Ru after structural relaxation, computed with PBEsol.

POSCAR file:
```
LiTe2Ru
1.0
1.6087 0.9288 9.8011
-1.6087 0.9288 9.8011
0.0000 -1.8576 9.8011
Li Te Ru
1 2 1
direct
0.0000 0.0000 0.0000
0.5326 0.5326 0.5326
0.7448 0.7448 0.7448
0.2591 0.2591 0.2591
```

Properties
space group = R3m, No. 160
volume = 87.9 Å³ per cell
energy = -4.663 eV per atom
size of the total moment = 0.30 μB/cell



Li2TeRu after structural relaxation, computed with PBEsol.

POSCAR file:
```
Li2TeRu
1.0
3.1614 0.0000 0.0000
0.0000 4.5874 0.0000
-0.2248 0.0000 4.4578
Li Te Ru
2 1 1
direct
0.2343 0.0000 0.2289
0.7657 0.0000 0.7711
0.0000 0.5000 0.5000
0.5000 0.5000 0.0000
```

Properties
space group = P2/m, No. 10
volume = 64.6 Å³ per cell
energy = -4.391 eV per atom
size of the total moment = 0.00 μB/cell



Li2TeRu after structural relaxation, computed with PBEsol.

POSCAR file:
```
Li2TeRu
1.0
-2.0068 2.0068 3.6328
2.0068 -2.0068 3.6328
2.0068 2.0068 -3.6328
Li Te Ru
2 1 1
direct
0.0000 0.0000 0.0000
0.7500 0.2500 0.5000
0.5000 0.5000 0.0000
0.2500 0.7500 0.5000
```

Properties
space group = I-4m2, No. 119
volume = 58.5 Å³ per cell
energy = -4.639 eV per atom
size of the total moment = 0.00 μB/cell



Li2TiRu after structural relaxation, computed with PBEsol.

POSCAR file:
```
Li2TiRu
1.0
-1.7258 1.7258 10.0072
1.7258 -1.7258 10.0072
1.7258 1.7258 -10.0072
Li Ti Ru
4 2 2
direct
0.1066 0.6250 0.9816
0.3750 0.3566 0.4816
0.6434 0.1250 0.0184
0.8750 0.8934 0.5184
0.2500 0.7500 0.5000
0.5000 0.5000 0.0000
0.0000 0.0000 0.0000
0.7500 0.2500 0.5000
```

Properties
space group = I-42d, No. 122
ΔH_f (0 K) = 157 meV per atom
volume = 119.2 Å³ per cell
size of the total moment = 0.00 μB/cell



LiTiRu3 after structural relaxation, computed with PBEsol.

POSCAR file:
```
LiTiRu3
1.0
4.4723 0.0000 0.0000
0.0000 4.4723 0.0000
0.0000 0.0000 4.4723
Li Ti Ru
1 1 3
direct
0.0000 0.0000 0.0000
0.5000 0.5000 0.5000
0.0000 0.5000 0.5000
0.5000 0.0000 0.5000
0.5000 0.5000 0.0000
```

Properties
space group = Pm-3m, No. 221
ΔH_f (0 K) = 1229 meV per atom
volume = 89.5 Å³ per cell
size of the total moment = 1.58 μB/cell



LiTl2Ru after structural relaxation, computed with PBEsol.

POSCAR file:
```
LiTl2Ru
1.0
-1.9580 1.9580 4.6727
1.9580 -1.9580 4.6727
1.9580 1.9580 -4.6727
Li Tl Ru
1 2 1
direct
0.0000 0.0000 0.0000
0.2500 0.7500 0.5000
0.5000 0.5000 0.0000
0.7500 0.2500 0.5000
```

Properties
space group = I-4m2, No. 119
ΔH_f (0 K) = 225 meV per atom
volume = 71.7 Å³ per cell
E above lowest polymorph = 0 meV/atom
size of the total moment = 0.01 μB/cell



Li3TlRu after structural relaxation, computed with PBEsol.

POSCAR file:
```
Li3TlRu
1.0
4.6874 0.0000 0.0000
0.0000 4.6874 0.0000
0.0000 0.0000 4.6874
Li Tl Ru
3 1 1
direct
0.0000 0.0000 0.5000
0.0000 0.5000 0.0000
0.5000 0.0000 0.0000
0.0000 0.0000 0.0000
0.5000 0.5000 0.5000
```

Properties
space group = Pm-3m, No. 221
ΔH_f (0 K) = 1079 meV per atom
volume = 103.0 Å³ per cell
size of the total moment = 1.82 μB/cell



LiTl2Ru after structural relaxation, computed with PBEsol.

POSCAR file:
```
LiTl2Ru
1.0
3.5861 0.0000 0.0000
0.0000 3.5861 0.0000
0.0000 0.0000 5.7810
Li Tl Ru
1 2 1
direct
0.0000 0.0000 0.0000
0.0000 0.0000 0.4415
0.5000 0.5000 0.7722
0.5000 0.5000 0.2440
```

Properties
space group = P4mm, No. 99
ΔH_f (0 K) = 287 meV per atom
volume = 74.3 Å³ per cell
E above lowest polymorph = 62 meV/atom
size of the total moment = 0.00 μB/cell



LiTl2Ru after structural relaxation, computed with PBEsol.

POSCAR file:
```
LiTl2Ru
1.0
0.0000 3.3369 3.3369
3.3369 0.0000 3.3369
3.3369 3.3369 0.0000
Li Tl Ru
1 2 1
direct
0.0000 0.0000 0.0000
0.2500 0.2500 0.2500
0.5000 0.5000 0.5000
0.7500 0.7500 0.7500
```

Properties
space group = F-43m, No. 216
ΔH_f (0 K) = 516 meV per atom
volume = 74.3 Å³ per cell
E above lowest polymorph = 291 meV/atom
size of the total moment = 0.26 μB/cell



LiTlRu after structural relaxation, computed with PBEsol.

POSCAR file:
```
LiTlRu
1.0
2.9515 0.0000 0.0000
-1.4758 2.5561 0.0000
0.0000 0.0000 6.8166
Li Tl Ru
1 1 1
direct
0.0000 0.0000 0.0000
0.3333 0.6667 0.3610
0.6667 0.3333 0.6954
```

Properties
space group = P3m1, No. 156
ΔH_f (0 K) = 454 meV per atom
volume = 51.4 Å³ per cell
size of the total moment = 0.00 μB/cell



LiTl3Ru after structural relaxation, computed with PBEsol.

POSCAR file:
```
LiTl3Ru
1.0
4.8310 0.0000 0.0000
0.0000 4.8310 0.0000
0.0000 0.0000 4.8310
Li Tl Ru
1 3 1
direct
0.0000 0.0000 0.0000
0.0000 0.0000 0.5000
0.0000 0.5000 0.0000
0.5000 0.0000 0.0000
0.5000 0.5000 0.5000
```

Properties
space group = Pm-3m, No. 221
ΔH_f (0 K) = 969 meV per atom
volume = 112.7 Å³ per cell
size of the total moment = 2.19 μB/cell



LiTm2Ru after structural relaxation, computed with PBEsol.

POSCAR file:
```
LiTm2Ru
1.0
0.0000 3.3727 3.3727
3.3727 0.0000 3.3727
3.3727 3.3727 0.0000
Li Tm Ru
1 2 1
direct
0.0000 0.0000 0.0000
0.2500 0.2500 0.2500
0.7500 0.7500 0.7500
0.5000 0.5000 0.5000
```

Properties
space group = Fm-3m, No. 225
ΔH_f (0 K) = -296 meV per atom
volume = 76.7 Å³ per cell
size of the total moment = 0.00 μB/cell



Li2RuW after structural relaxation, computed with PBEsol.

POSCAR file:
```
Li2RuW
1.0
3.0171 0.0000 0.0000
0.0000 4.0252 0.0000
0.0000 0.0000 4.6427
Li Ru W
2 1 1
direct
0.0000 0.0000 0.0000
0.5000 0.5000 0.0000
0.0000 0.5000 0.5000
0.5000 0.0000 0.5000
```

Properties
space group = Pmmm, No. 47
ΔH_f (0 K) = 330 meV per atom
volume = 56.4 Å³ per cell
E above lowest polymorph = 0 meV/atom
size of the total moment = 0.00 μB/cell



Li2RuW after structural relaxation, computed with PBEsol.

POSCAR file:
```
Li2RuW
1.0
-1.7558 1.7558 4.5707
1.7558 -1.7558 4.5707
1.7558 1.7558 -4.5707
Li Ru W
2 1 1
direct
0.2500 0.7500 0.5000
0.7500 0.2500 0.5000
0.0000 0.0000 0.0000
0.5000 0.5000 0.0000
```

Properties
space group = I4/mmm, No. 139
ΔH_f (0 K) = 376 meV per atom
volume = 56.4 Å³ per cell
E above lowest polymorph = 45 meV/atom
size of the total moment = 0.00 μB/cell



LiRu3W after structural relaxation, computed with PBEsol.

POSCAR file:
```
LiRu3W
1.0
4.0087 0.0000 0.0000
0.0000 4.0087 0.0000
0.0000 0.0000 4.0087
Li Ru W
1 3 1
direct
0.0000 0.0000 0.0000
0.0000 0.0000 0.5000
0.0000 0.5000 0.0000
0.5000 0.0000 0.0000
0.5000 0.5000 0.5000
```

Properties
space group = Pm-3m, No. 221
ΔH_f (0 K) = 857 meV per atom
volume = 64.4 Å³ per cell
size of the total moment = 0.00 μB/cell